No. 1
DFT (PBE) results for an optimized crystal structure of NiOsS2Cl.

Calculated values
relative energy among the computed polymorphs = 0.000 eV per atom
uncorrected formation energy = 4.065 eV per formula unit

a b c (Å): 4.514 4.514 5.077
angles (deg): 90.00 90.00 90.00
Last column: magnetic moment on the atom in μB.
Sites, in units of the cell vectors:
1 Ni 0.500 0.500 0.500  0.91
2 Os 0.000 0.000 0.000  -0.03
3 Cl 0.000 0.000 0.500  0.02
4 S 0.500 0.000 0.000  0.01
5 S 0.000 0.500 0.000  0.01


No. 2
DFT (PBE) results for an optimized crystal structure of Ge2OsN.

Calculated values
uncorrected formation energy = 2.095 eV per formula unit

a b c (Å): 5.523 5.523 5.562
angles (deg): 60.23 60.23 90.00
Sites, in units of the cell vectors:
1 N 0.500 0.500 0.000
2 N 0.250 0.750 0.500
3 Ge 0.560 0.125 0.250
4 Ge 0.190 0.625 0.250
5 Ge 0.875 0.810 0.750
6 Ge 0.375 0.440 0.750
7 Os 0.750 0.250 0.500
8 Os 0.000 0.000 0.000


No. 3
DFT (PBE) results for an optimized crystal structure of Ga2HgPb2.

Calculated values
relative energy among the computed polymorphs = 0.063 eV per atom
calculated formation energy = 0.55 eV per formula unit

a b c (Å): 9.104 9.104 3.298
angles (deg): 90.00 90.00 90.00
Sites, in units of the cell vectors:
1 Pb 0.185 0.315 0.000
2 Pb 0.815 0.685 0.000
3 Pb 0.685 0.185 0.000
4 Pb 0.315 0.815 0.000
5 Hg 0.000 0.000 0.000
6 Hg 0.500 0.500 0.000
7 Ga 0.610 0.890 0.500
8 Ga 0.390 0.110 0.500
9 Ga 0.110 0.610 0.500
10 Ga 0.890 0.390 0.500


No. 4
DFT (PBE) results for an optimized crystal structure of HPdW3.

Calculated values
relative energy among the computed polymorphs = 0.000 eV per atom

a b c (Å): 4.025 4.025 4.025
angles (deg): 90.00 90.00 90.00
Sites, in units of the cell vectors:
1 W 0.500 0.000 0.000
2 W 0.000 0.000 0.500
3 W 0.000 0.500 0.000
4 Pd 0.500 0.500 0.500
5 H 0.000 0.000 0.000


no.,raw total energy (Ha/atom)
1,-0.1694
2,-0.2453
3,-0.0972
4,-0.3420